A.
A relaxed structure of Ho4NiRu, computed with PBE.

Output
Total magnetic moment, μB/cell: 0.0
DOS(E_F), states/eV per cell: 7.85

a b c (Å): 6.7179 6.7408 6.7225
angles (deg): 90.00 90.13 90.00
With the nearest neighbours (Å) after each atom.
Space group P2_1/c (No. 14)
Unique sites:
1 Ho 0.1629 0.1608 0.3388 [4 per cell]  1 Ni 2.73, 2 Ru 2.75-2.76
2 Ho 0.3356 0.6646 0.3361 [4 per cell]  2 Ni 2.75, 1 Ru 2.75
3 Ni 0.5000 0.0000 0.5000 [2 per cell]  6 Ho 2.73-2.75
4 Ru 0.0000 0.0000 0.0000 [2 per cell]  6 Ho 2.75-2.76

***

B.
A relaxed structure of Ho4NiRu, computed with PBE.

Output
Total magnetic moment, μB/cell: 0.0
DOS(E_F), states/eV per cell: 10.34

a b c (Å): 6.1618 6.5444 7.5189
angles (deg): 90.00 107.67 90.00
With the nearest neighbours (Å) after each atom.
Space group P2_1/m (No. 11)
Unique sites:
1 Ho 0.0012 0.0000 0.2564 [4 per cell]  2 Ni 2.81-2.83, 2 Ru 2.83-2.84
2 Ho 0.4324 0.2500 0.1059 [2 per cell]  1 Ni 2.71, 1 Ru 2.75
3 Ho 0.4473 0.2500 0.6136 [2 per cell]  1 Ni 2.67, 1 Ru 2.71
4 Ni 0.2353 0.7500 0.5616 [2 per cell]  6 Ho 2.67-2.83
5 Ru 0.2204 0.7500 0.0531 [2 per cell]  6 Ho 2.71-2.84

***

Stability summary - winner: B; margin: 32 meV/atom.

***

A.
A relaxed structure of YHoNiRu, computed with PBE.

Output
Total magnetic moment, μB/cell: 0.0
DOS(E_F), states/eV per cell: 9.86

a b c (Å): 6.7800 6.7800 6.7800
angles (deg): 90.00 90.00 90.00
With the nearest neighbours (Å) after each atom.
Space group F-43m (No. 216)
Unique sites:
1 Y 0.0000 0.0000 0.0000 [4 per cell]  4 Ru 2.94, 4 Ni 2.94
2 Ho 0.0000 0.0000 0.5000 [4 per cell]  4 Ru 2.94, 4 Ni 2.94
3 Ni 0.2500 0.2500 0.2500 [4 per cell]  4 Ho 2.94, 4 Y 2.94
4 Ru 0.2500 0.2500 0.7500 [4 per cell]  4 Ho 2.94, 4 Y 2.94

***

B.
A relaxed structure of YHoNiRu, computed with PBE.

Output
Total magnetic moment, μB/cell: 0.0
DOS(E_F), states/eV per cell: 2.03

a b c (Å): 3.3985 3.3985 6.7579
angles (deg): 90.00 90.00 90.00
With the nearest neighbours (Å) after each atom.
Space group P4mm (No. 99)
Unique sites:
1 Y 0.0000 0.0000 0.0000 [1 per cell]  4 Ru 2.95, 4 Ni 2.97
2 Ho 0.0000 0.0000 0.4968 [1 per cell]  4 Ru 2.91, 4 Ni 2.92
3 Ni 0.5000 0.5000 0.7427 [1 per cell]  4 Ho 2.92, 4 Y 2.97
4 Ru 0.5000 0.5000 0.2528 [1 per cell]  4 Ho 2.91, 4 Y 2.95

***

Stability summary - winner: B; margin: 18 meV/atom.

***

A.
A relaxed structure of Ho5NiSb2, computed with PBE.

Output
Total magnetic moment, μB/cell: 0.0
DOS(E_F), states/eV per cell: 12.28

a b c (Å): 7.8976 12.0475 4.4333
angles (deg): 90.00 90.00 90.00
With the nearest neighbours (Å) after each atom.
Space group Pbam (No. 55)
Unique sites:
1 Ho 0.0000 0.0000 0.0000 [2 per cell]  4 Sb 3.09, 4 Ho 3.44
2 Ho 0.1409 0.3008 0.0000 [4 per cell]  1 Ni 2.65
3 Ho 0.1818 0.5634 0.5000 [4 per cell]  2 Ni 2.75
4 Ni 0.0000 0.5000 0.0000 [2 per cell]  6 Ho 2.65-2.75
5 Sb 0.0714 0.8270 0.5000 [4 per cell]  9 Ho 3.09-3.45

***

B.
A relaxed structure of Ho5NiSb2, computed with PBE.

Output
Total magnetic moment, μB/cell: 0.0
DOS(E_F), states/eV per cell: 29.45

a b c (Å): 12.1084 8.7880 7.8810
angles (deg): 90.00 90.00 90.00
With the nearest neighbours (Å) after each atom.
Space group Pnma (No. 62)
Unique sites:
1 Ho 0.9998 0.2500 0.0447 [4 per cell]  1 Ni 2.99, 4 Sb 3.10-3.11
2 Ho 0.0662 0.0412 0.6798 [8 per cell]  2 Ni 2.77-2.88
3 Ho 0.1958 0.7500 0.3751 [4 per cell]  1 Ni 2.73
4 Ho 0.2069 0.2500 0.3421 [4 per cell]  1 Ni 2.72
5 Ni 0.0117 0.7500 0.5758 [4 per cell]  7 Ho 2.72-2.99
6 Sb 0.1729 0.5090 0.0705 [8 per cell]  8 Ho 3.10-3.37

***

Stability summary - winner: B; margin: 13 meV/atom.